# YPuBiN | Alexandria via LeMat-Bulk | GGA-PBE | relaxed
# density = 9.67 g/cm3
# raw formation energy = -1034 meV/atom
# D(E_F) = 10.6 states/eV/f.u.
# spin magnetization = 5.0 μB/f.u.
data_YPuBiN
_cell_length_a 4.609
_cell_length_b 4.609
_cell_length_c 8.985
_cell_angle_alpha 90.00
_cell_angle_beta 90.00
_cell_angle_gamma 90.00
_space_group_name_H-M_alt 'P 1'
_space_group_IT_number 1
loop_
_space_group_symop_operation_xyz
'x,y,z'
loop_
_atom_site_label
_atom_site_fract_x
_atom_site_fract_y
_atom_site_fract_z
Y1 0.250 0.750 0.000
Y2 0.750 0.250 0.000
Pu1 0.250 0.250 0.321
Pu2 0.750 0.750 0.679
Bi1 0.250 0.250 0.691
Bi2 0.750 0.750 0.309
N1 0.250 0.250 0.081
N2 0.750 0.750 0.919